(1)
Here is a crystal of ZrTl2Si2 relaxed with PBEsol from Alexandria. Energies are from SCAN.

Properties
Its density of states at the Fermi level is 0.648 states/eV/atom. Its total energy is -193.82 eV for the cell shown. The space group is No. 139. The value obtained for the volume is 21.3 Å³ per atom. For the calculated density, the calculation gives 8.7 Mg/m³. For the raw formation energy, the calculation gives 0.33 eV/atom.

Geometry as extended XYZ:
```
5
Lattice="-1.085 -2.980 -1.107 2.766 -1.461 1.224 -5.239 0.771 8.151" Properties=species:S:1:pos:R:3 pbc="T T T"
Tl -3.448 -1.136 6.435
Tl -0.110 -2.534 1.833
Si -0.816 -1.456 4.717
Si -2.742 -2.215 3.551
Zr 0.000 0.000 0.000
```

***

(2)
Here is a crystal of TlCdPb2 relaxed with PBEsol from Alexandria. Energies are from SCAN.

Properties
As for the energy relative to the lowest polymorph listed for this composition: 59 meV per atom. Its density of states at the Fermi level is 0.424 states/eV/atom. Its total energy is -254.00 eV for the cell shown. For the energy of formation from the pure elements, the calculation gives 0.085 eV/atom. The space group is No. 225. The value obtained for the volume is 27.5 Å³ per atom. For the calculated density, the calculation gives 11.0 Mg/m³.

Geometry as extended XYZ:
```
4
Lattice="5.378 0.000 0.000 2.689 4.657 0.000 2.689 1.552 4.391" Properties=species:S:1:pos:R:3 pbc="T T T"
Pb 2.689 1.552 1.098
Pb 8.066 4.657 3.293
Tl 5.378 3.105 2.195
Cd 0.000 0.000 0.000
```